Version a
VASP calculation (PBE) on a geometry-optimized Pm4Sm3Ho structure.

a = 23.642 Å, b = 3.508 Å, c = 6.885 Å
α = 90.00°, β = 106.88°, γ = 90.00°
Space group C2/m (No. 12)
Symmetry-distinct sites (fractional):
Pm: 0.124 0.000 0.365 (multiplicity 4)
Pm: 0.241 0.500 0.241 (multiplicity 4)
Sm: 0.000 0.000 0.500 (multiplicity 2)
Sm: 0.124 0.000 0.884 (multiplicity 4)
Ho: 0.000 0.500 0.000 (multiplicity 2)

Values from the calculation:
D(E_F) (states/eV per cell): 27.082
Spin magnetization (μB per atom): 0.00



Version b
VASP calculation (PBE) on a geometry-optimized Pm4Sm3Ho structure.

a = 11.683 Å, b = 7.347 Å, c = 6.352 Å
α = 90.00°, β = 90.00°, γ = 90.00°
Space group Pmn2_1 (No. 31)
Symmetry-distinct sites (fractional):
Pm: 0.000 0.125 0.000 (multiplicity 2)
Pm: 0.000 0.874 0.503 (multiplicity 2)
Pm: 0.248 0.127 0.334 (multiplicity 4)
Sm: 0.000 0.624 0.002 (multiplicity 2)
Sm: 0.250 0.376 0.834 (multiplicity 4)
Ho: 0.000 0.376 0.501 (multiplicity 2)

Values from the calculation:
D(E_F) (states/eV per cell): 28.211
Spin magnetization (μB per atom): 0.00



Stability, highest: version b



Version a
VASP calculation (PBE) on a geometry-optimized Pm4Sm4Ho3 structure.

a = 3.642 Å, b = 9.481 Å, c = 21.752 Å
α = 90.00°, β = 90.00°, γ = 90.00°
Space group Immm (No. 71)
Symmetry-distinct sites (fractional):
Pm: 0.000 0.000 0.240 (multiplicity 4)
Pm: 0.000 0.185 0.000 (multiplicity 4)
Sm: 0.000 0.324 0.143 (multiplicity 8)
Ho: 0.000 0.000 0.500 (multiplicity 2)
Ho: 0.000 0.500 0.393 (multiplicity 4)

Values from the calculation:
D(E_F) (states/eV per cell): 35.233
Spin magnetization (μB per atom): 0.00



Version b
VASP calculation (PBE) on a geometry-optimized Pm4Sm4Ho3 structure.

a = 3.556 Å, b = 5.697 Å, c = 18.293 Å
α = 98.91°, β = 95.56°, γ = 90.00°
Space group P-1 (No. 2)
Symmetry-distinct sites (fractional):
Pm: 0.090 0.091 0.181 (multiplicity 2)
Pm: 0.233 0.732 0.465 (multiplicity 2)
Sm: 0.046 0.547 0.092 (multiplicity 2)
Sm: 0.180 0.180 0.360 (multiplicity 2)
Ho: 0.364 0.364 0.728 (multiplicity 2)
Ho: 0.500 0.000 0.000 (multiplicity 1)

Values from the calculation:
D(E_F) (states/eV per cell): 18.335
Spin magnetization (μB per atom): 0.00



Stability, highest: version b



Version a
VASP calculation (PBE) on a geometry-optimized Pm4Sm3Ho8 structure.

a = 13.438 Å, b = 12.841 Å, c = 6.769 Å
α = 90.00°, β = 120.20°, γ = 90.00°
Space group C2/m (No. 12)
Symmetry-distinct sites (fractional):
Pm: 0.000 0.000 0.000 (multiplicity 2)
Pm: 0.000 0.000 0.500 (multiplicity 2)
Pm: 0.250 0.250 0.000 (multiplicity 4)
Sm: 0.000 0.500 0.000 (multiplicity 2)
Sm: 0.250 0.250 0.500 (multiplicity 4)
Ho: 0.000 0.256 0.000 (multiplicity 4)
Ho: 0.000 0.360 0.500 (multiplicity 4)
Ho: 0.232 0.500 0.493 (multiplicity 4)
Ho: 0.232 0.500 0.971 (multiplicity 4)

Values from the calculation:
D(E_F) (states/eV per cell): 60.437
Spin magnetization (μB per atom): 0.00



Version b
VASP calculation (PBE) on a geometry-optimized Pm4Sm3Ho8 structure.

a = 6.9746 Å, b = 6.9746 Å, c = 35.4733 Å
α = 90.00°, β = 90.00°, γ = 120.00°
Space group R-3m (No. 166, hexagonal axes)
Symmetry-distinct sites (fractional):
Pm: 0.0000 0.0000 0.0000 (multiplicity 3)
Pm: 0.0000 0.0000 0.1637 (multiplicity 6)
Pm: 0.0000 0.0000 0.5000 (multiplicity 3)
Sm: 0.0000 0.5000 0.0000 (multiplicity 9)
Ho: 0.0000 0.0000 0.2545 (multiplicity 6)
Ho: 0.0011 0.5006 0.2502 (multiplicity 18)

Values from the calculation:
D(E_F) (states/eV per cell): 68.950
Spin magnetization (μB per atom): 0.00



Stability, highest: version b



Version a
VASP calculation (PBE) on a geometry-optimized Pm7SmHo2 structure.

a = 8.885 Å, b = 16.236 Å, c = 5.701 Å
α = 90.00°, β = 90.00°, γ = 90.00°
Space group Cmmm (No. 65)
Symmetry-distinct sites (fractional):
Pm: 0.000 0.000 0.000 (multiplicity 2)
Pm: 0.000 0.276 0.500 (multiplicity 4)
Pm: 0.179 0.385 0.000 (multiplicity 8)
Sm: 0.000 0.500 0.500 (multiplicity 2)
Ho: 0.000 0.204 0.000 (multiplicity 4)

Values from the calculation:
D(E_F) (states/eV per cell): 29.578
Spin magnetization (μB per atom): 0.00



Version b
VASP calculation (PBE) on a geometry-optimized Pm7SmHo2 structure.

a = 12.065 Å, b = 16.923 Å, c = 3.505 Å
α = 90.00°, β = 90.00°, γ = 90.00°
Space group Cmmm (No. 65)
Symmetry-distinct sites (fractional):
Pm: 0.000 0.000 0.000 (multiplicity 2)
Pm: 0.000 0.177 0.500 (multiplicity 4)
Pm: 0.244 0.131 0.000 (multiplicity 8)
Sm: 0.000 0.500 0.500 (multiplicity 2)
Ho: 0.000 0.332 0.000 (multiplicity 4)

Values from the calculation:
D(E_F) (states/eV per cell): 30.874
Spin magnetization (μB per atom): 0.00



Stability, highest: version b